Entry 1:
Sr2AsRh | PBE | relaxed

The structure belongs to space group Amm2 (No. 38); the cell edges are 4.524, 4.668 and 10.491 Å and the angles 90.00°, 90.00° and 90.00°. Symmetry generates all atoms from Sr at (0.000, 0.000, 0.000), Sr at (0.500, 0.000, 0.287), As at (0.000, 0.000, 0.694) and Rh at (0.500, 0.000, 0.594).


Entry 2:
Zn6Ga | PBE | relaxed

The structure belongs to space group Im-3m (No. 229); the cell edges are 6.979, 6.979 and 6.979 Å and the angles 90.00°, 90.00° and 90.00°. Symmetry generates all atoms from Zn at (0.000, 0.250, 0.500) and Ga at (0.000, 0.000, 0.000).

Its excess energy over the best structure of this formula in the dataset is 416 meV/atom.


Entry 3:
Mn2CdCI | PBE | relaxed

The structure belongs to space group P4/mmm (No. 123); the cell edges are 5.154, 5.154 and 4.250 Å and the angles 90.00°, 90.00° and 90.00°. Symmetry generates all atoms from Mn at (0.000, 0.500, 0.000), Cd at (0.000, 0.000, 0.500), C at (0.500, 0.500, 0.500) and I at (0.500, 0.500, 0.000).

As for the raw formation energy: 1.92 eV per atom. Its excess energy over the best structure of this formula in the dataset is 1210 meV/atom.


Entry 4:
HgTe2Se | PBE | relaxed

The structure belongs to space group Pmmm (No. 47); the cell edges are 3.598, 4.461 and 7.294 Å and the angles 90.00°, 90.00° and 90.00°. Symmetry generates all atoms from Hg at (0.000, 0.000, 0.000), Te at (0.500, 0.500, 0.310) and Se at (0.000, 0.000, 0.500).

As for the raw formation energy: 0.36 eV per atom. Its excess energy over the best structure of this formula in the dataset is 357 meV/atom.


Magnetic moment (computed, μB per formula unit): 0.00 0.00 7.97 0.00
Electronic total energy (computed, eV/atom): -4.57 -1.04 -4.08 -2.16